DFT (PBE) results for a relaxed structure of Na2TlIn3I6.

Unit cell a=10.873 b=10.873 c=9.803 alpha=103.11 beta=103.11 gamma=25.75
Sites, in units of the cell vectors:
Na (0.170, 0.170, 0.339)
Na (0.830, 0.830, 0.661)
Tl (0.500, 0.500, 0.000)
In (0.166, 0.166, 0.831)
In (0.500, 0.500, 0.500)
In (0.834, 0.834, 0.169)
I (0.012, 0.012, 0.259)
I (0.328, 0.328, 0.425)
I (0.329, 0.329, 0.896)
I (0.671, 0.671, 0.104)
I (0.672, 0.672, 0.575)
I (0.988, 0.988, 0.741)

- Total magnetization: 0.00 μB/atom
- Symmetry: C2/m
- Uncorrected formation energy: -0.75 eV/atom
- DOS(E_F): 0.000 states/eV/atom
- DFT total energy: -2.624 eV/atom

=====

DFT (PBE) results for a relaxed structure of Ag5SnAu4.

Unit cell a=5.140 b=5.877 c=6.698 alpha=77.06 beta=74.32 gamma=74.47
Sites, in units of the cell vectors:
Ag (0.000, 0.000, 0.000)
Ag (0.205, 0.297, 0.595)
Ag (0.405, 0.098, 0.201)
Ag (0.595, 0.902, 0.799)
Ag (0.795, 0.703, 0.405)
Sn (0.000, 0.500, 0.000)
Au (0.196, 0.803, 0.599)
Au (0.396, 0.604, 0.204)
Au (0.604, 0.396, 0.796)
Au (0.804, 0.197, 0.401)

- Energy relative to the elements: -4 kJ per mole of atoms
- Total magnetization: 0.00 μB/atom
- Symmetry: P-1
- ΔE to the lowest computed polymorph: 0 kJ/mol of formula units
- DOS(E_F): 0.312 states/eV/atom
- DFT total energy: -3.180 eV/atom

=====

DFT (PBE) results for a relaxed structure of ErScCo2.

Unit cell a=4.546 b=4.546 c=4.546 alpha=60.00 beta=60.00 gamma=60.00
Sites, in units of the cell vectors:
Er (0.000, 0.000, 0.000)
Sc (0.500, 0.500, 0.500)
Co (0.250, 0.250, 0.250)
Co (0.750, 0.750, 0.750)

- Energy relative to the elements: -25 kJ per mole of atoms
- Total magnetization: 0.15 μB/atom
- Symmetry: Fm-3m
- ΔE to the lowest computed polymorph: 2 kJ/mol of formula units
- DOS(E_F): 0.511 states/eV/atom
- DFT total energy: -6.531 eV/atom